Record 1
A geometry-optimized GaBiPt structure. Source: OQMD via LeMat-Bulk, functional PBE.

abc: 4.5713 4.5713 4.5713
angles: 60.00 60.00 60.00
Closest atoms and distances in Å follow each position.
Fractional coordinates of all 3 atoms:
Bi (0.2500, 0.2500, 0.2500)  4 Ga 2.80
Ga (0.0000, 0.0000, 0.0000)  4 Pt 2.80, 4 Bi 2.80
Pt (0.7500, 0.7500, 0.7500)  4 Ga 2.80

Output
Its space-group type is F-43m (216).

Record 2
A geometry-optimized GaBiPt2 structure. Source: OQMD via LeMat-Bulk, functional PBE.

abc: 4.1406 4.1406 5.5557
angles: 90.00 90.00 120.00
Closest atoms and distances in Å follow each position.
Fractional coordinates of all 4 atoms:
Bi (0.0000, 0.0000, 0.5000)  6 Pt 2.80
Ga (0.3333, 0.6667, 0.0000)  6 Pt 2.73
Pt (0.6667, 0.3333, 0.2366)  2 Pt 2.63-2.93, 3 Ga 2.73, 3 Bi 2.80
Pt (0.6667, 0.3333, 0.7634)  2 Pt 2.63-2.93, 3 Ga 2.73, 3 Bi 2.80

Output
Its space-group type is P-6m2 (187).

| no. | M_tot (μB/cell) | uncorrected energy (eV/atom) |
| --- | --- | --- |
| 1 | 0.00 | -4.34 |
| 2 | 0.00 | -5.18 |